No. 1
Cs5S2Br2: relaxed, PBE.

Structure (POSCAR):
```
Cs5S2Br2
1.0
8.762 0.000 3.180
0.000 9.352 0.000
1.291 0.000 10.103
Cs Br S
10 4 4
Direct
0.000 0.000 0.000 Cs
0.710 0.340 0.256 Cs
0.034 0.660 0.256 Cs
0.290 0.660 0.744 Cs
0.210 0.160 0.256 Cs
0.534 0.840 0.256 Cs
0.790 0.840 0.744 Cs
0.466 0.160 0.744 Cs
0.500 0.500 0.000 Cs
0.966 0.340 0.744 Cs
0.202 0.000 0.597 Br
0.798 0.000 0.403 Br
0.298 0.500 0.403 Br
0.702 0.500 0.597 Br
0.624 0.124 0.000 S
0.124 0.376 0.000 S
0.376 0.876 0.000 S
0.876 0.624 0.000 S
```

Calculated values
Total energy, eV for the cell shown: -54.530
Calculated density, g/cm³: 3.74
Uncorrected formation energy, eV per atom: -1.27

***

No. 2
CrSeSBr2: relaxed, PBE.

Structure (POSCAR):
```
CrSeSBr2
1.0
-4.623 -0.166 1.429
0.382 -4.779 0.680
1.360 0.747 4.486
Se Br Cr S
1 2 1 1
Direct
0.000 0.000 0.500 Se
0.500 0.000 0.000 Br
0.000 0.500 0.000 Br
0.000 0.000 0.000 Cr
0.500 0.500 0.500 S
```

Calculated values
Total energy, eV for the cell shown: -18.106
Calculated density, g/cm³: 4.82
Uncorrected formation energy, eV per atom: 0.50

***

No. 3
Li14Be6B9O27: relaxed, PBE.

Structure (POSCAR):
```
Li14Be6B9O27
1.0
-7.322 -2.657 0.727
3.892 -1.044 -6.705
6.715 -16.727 6.503
Li O B Be
28 54 18 12
Direct
0.323 0.971 0.037 Li
0.352 0.323 0.963 Li
0.323 0.971 0.463 Li
0.667 0.333 0.750 Li
0.324 0.298 0.831 Li
0.333 0.667 0.250 Li
0.702 0.026 0.831 Li
0.333 0.667 0.750 Li
0.676 0.702 0.331 Li
0.971 0.648 0.963 Li
0.029 0.352 0.037 Li
0.677 0.029 0.963 Li
0.648 0.677 0.463 Li
0.029 0.352 0.463 Li
0.298 0.974 0.169 Li
0.648 0.677 0.037 Li
0.971 0.648 0.537 Li
0.352 0.323 0.537 Li
0.324 0.298 0.669 Li
0.026 0.324 0.331 Li
0.677 0.029 0.537 Li
0.702 0.026 0.669 Li
0.298 0.974 0.331 Li
0.974 0.676 0.669 Li
0.676 0.702 0.169 Li
0.974 0.676 0.831 Li
0.026 0.324 0.169 Li
0.667 0.333 0.250 Li
0.802 0.534 0.050 O
0.824 0.202 0.750 O
0.732 0.198 0.450 O
0.129 0.567 0.109 O
0.268 0.802 0.550 O
0.133 0.393 0.689 O
0.867 0.607 0.311 O
0.741 0.133 0.311 O
0.885 0.797 0.594 O
0.607 0.741 0.689 O
0.802 0.534 0.450 O
0.732 0.198 0.050 O
0.466 0.268 0.450 O
0.393 0.259 0.189 O
0.198 0.466 0.950 O
0.466 0.268 0.050 O
0.203 0.088 0.906 O
0.871 0.433 0.609 O
0.268 0.802 0.950 O
0.885 0.797 0.906 O
0.133 0.393 0.811 O
0.797 0.912 0.406 O
0.433 0.562 0.109 O
0.867 0.607 0.189 O
0.203 0.088 0.594 O
0.115 0.203 0.094 O
0.562 0.129 0.891 O
0.741 0.133 0.189 O
0.115 0.203 0.406 O
0.198 0.466 0.550 O
0.259 0.867 0.811 O
0.912 0.115 0.594 O
0.567 0.438 0.891 O
0.871 0.433 0.891 O
0.433 0.562 0.391 O
0.622 0.824 0.250 O
0.797 0.912 0.094 O
0.798 0.622 0.750 O
0.438 0.871 0.109 O
0.129 0.567 0.391 O
0.088 0.885 0.094 O
0.534 0.732 0.950 O
0.202 0.378 0.250 O
0.567 0.438 0.609 O
0.438 0.871 0.391 O
0.912 0.115 0.906 O
0.534 0.732 0.550 O
0.562 0.129 0.609 O
0.259 0.867 0.689 O
0.607 0.741 0.811 O
0.088 0.885 0.406 O
0.378 0.176 0.750 O
0.176 0.798 0.250 O
0.393 0.259 0.311 O
0.000 0.000 0.906 B
0.333 0.667 0.108 B
0.324 0.299 0.250 B
0.299 0.975 0.750 B
0.333 0.667 0.949 B
0.676 0.701 0.750 B
0.333 0.667 0.392 B
0.667 0.333 0.449 B
0.667 0.333 0.892 B
0.000 0.000 0.406 B
0.333 0.667 0.551 B
0.000 0.000 0.094 B
0.975 0.676 0.250 B
0.667 0.333 0.608 B
0.025 0.324 0.750 B
0.000 0.000 0.594 B
0.701 0.025 0.250 B
0.667 0.333 0.051 B
0.325 0.974 0.889 Be
0.351 0.325 0.111 Be
0.325 0.974 0.611 Be
0.974 0.649 0.389 Be
0.675 0.026 0.389 Be
0.974 0.649 0.111 Be
0.351 0.325 0.389 Be
0.026 0.351 0.611 Be
0.675 0.026 0.111 Be
0.026 0.351 0.889 Be
0.649 0.675 0.889 Be
0.649 0.675 0.611 Be
```

Calculated values
Total energy, eV for the cell shown: -755.943
Calculated density, g/cm³: 2.23
Uncorrected formation energy, eV per atom: -2.41

***

No. 4
PrNiPt4: relaxed, PBE.

Structure (POSCAR):
```
PrNiPt4
1.0
4.099 0.000 0.000
0.000 6.866 0.000
0.000 0.000 7.551
Pt Ni Pr
8 2 2
Direct
0.000 0.000 0.500 Pt
0.500 0.309 0.945 Pt
0.500 0.033 0.250 Pt
0.000 0.000 0.000 Pt
0.500 0.691 0.055 Pt
0.500 0.967 0.750 Pt
0.500 0.691 0.445 Pt
0.500 0.309 0.555 Pt
0.000 0.231 0.750 Ni
0.000 0.769 0.250 Ni
0.000 0.368 0.250 Pr
0.000 0.632 0.750 Pr
```

Calculated values
Total energy, eV for the cell shown: -75.499
Calculated density, g/cm³: 15.31
Formation energy, meV per atom: -504

***

No. 5
TlC5: relaxed, PBE.

Structure (POSCAR):
```
TlC5
1.0
2.366 8.133 2.699
-4.142 -7.821 -0.840
2.408 -1.550 2.561
C Tl
5 1
Direct
0.783 0.217 0.500 C
0.399 0.601 0.500 C
0.681 0.319 0.000 C
0.318 0.682 0.500 C
0.171 0.829 0.000 C
0.982 0.018 0.000 Tl
```

Calculated values
Total energy, eV for the cell shown: -39.565
Calculated density, g/cm³: 5.02
Formation energy, meV per atom: 1487

***

No. 6
Hf12ZrSn7: relaxed, PBE.

Structure (POSCAR):
```
Hf12ZrSn7
1.0
-2.950 -4.398 5.754
5.737 2.687 4.584
-4.664 6.015 1.796
Sn Hf Zr
7 12 1
Direct
0.618 0.985 0.841 Sn
0.015 0.159 0.382 Sn
0.382 0.015 0.159 Sn
0.500 0.500 0.500 Sn
0.159 0.382 0.015 Sn
0.985 0.841 0.618 Sn
0.841 0.618 0.985 Sn
0.585 0.162 0.473 Hf
0.742 0.883 0.269 Hf
0.527 0.415 0.838 Hf
0.258 0.117 0.731 Hf
0.117 0.731 0.258 Hf
0.731 0.258 0.117 Hf
0.269 0.742 0.883 Hf
0.883 0.269 0.742 Hf
0.162 0.473 0.585 Hf
0.473 0.585 0.162 Hf
0.838 0.527 0.415 Hf
0.415 0.838 0.527 Hf
0.000 0.000 0.000 Zr
```

Calculated values
Total energy, eV for the cell shown: -154.173
Calculated density, g/cm³: 10.67
Formation energy, meV per atom: 92